1.
# HfGaNiRh

An optimized crystal structure of HfGaNiRh (PBE, Alexandria via LeMat-Bulk).

Output
- polymorph energy (0 for the lowest one) (meV per atom) = 0
- density of states at the Fermi level (states/eV per cell) = 0.983
- space-group type = I-4m2 (119)
- energy of formation (eV per atom) = -0.69
- calculated volume (Å³/cell) = 59.8

Unit cell a=4.0436 b=4.0437 c=4.6428 alpha=115.82 beta=115.81 gamma=90.00
With the nearest neighbours (Å) after each atom.
Fractional coordinates of all 4 atoms:
1 Hf 0.2500 0.7500 0.5000  4 Ni 2.73, 4 Rh 2.73, 4 Ga 2.86
2 Rh 0.5000 0.5000 0.0000  4 Ga 2.73, 4 Hf 2.73, 4 Ni 2.86
3 Ga 0.7500 0.2500 0.5000  4 Ni 2.73, 4 Rh 2.73, 4 Hf 2.86
4 Ni 0.0000 0.0000 0.0001  4 Ga 2.73, 4 Hf 2.73, 4 Rh 2.86

---

2.
# RbGa2Au

An optimized crystal structure of RbGa2Au (PBE, Alexandria via LeMat-Bulk).

Output
- density of states at the Fermi level (states/eV per cell) = 4.174
- space-group type = I-42d (122)
- energy of formation (eV per atom) = -0.08
- calculated volume (Å³/cell) = 259.4

Unit cell a=5.4227 b=5.4227 c=9.6192 alpha=73.63 beta=73.63 gamma=90.00
With the nearest neighbours (Å) after each atom.
Fractional coordinates of all 8 atoms:
1 Rb 0.5000 0.5000 0.0000  8 Ga 3.75, 4 Au 3.83
2 Rb 0.2500 0.7500 0.5000  8 Ga 3.75, 4 Au 3.83
3 Au 0.0000 0.0000 0.0000  4 Ga 2.59
4 Ga 0.8740 0.6250 0.2500  2 Au 2.59, 2 Ga 2.71
5 Ga 0.8750 0.1260 0.7500  2 Au 2.59, 2 Ga 2.71
6 Ga 0.8760 0.1250 0.2500  2 Au 2.59, 2 Ga 2.71
7 Ga 0.3750 0.1240 0.7500  2 Au 2.59, 2 Ga 2.71
8 Au 0.7500 0.2500 0.5000  4 Ga 2.59

---

3.
# Ca2ThSe4

An optimized crystal structure of Ca2ThSe4 (PBE, Alexandria via LeMat-Bulk).

Output
- polymorph energy (0 for the lowest one) (meV per atom) = 0
- formation energy from raw total energies (eV per atom) = -1.85
- density of states at the Fermi level (states/eV per cell) = 0.000
- space-group type = Pbam (55)
- calculated volume (Å³/cell) = 407.9

Unit cell a=4.3102 b=7.4260 c=12.7434 alpha=90.00 beta=90.00 gamma=90.00
With the nearest neighbours (Å) after each atom.
Fractional coordinates of all 14 atoms:
1 Se 0.0000 0.1333 0.7138  1 Th 2.90, 4 Ca 3.01
2 Ca 0.5000 0.4110 0.6848  6 Se 3.01-3.10
3 Th 0.0000 0.5000 0.0000  6 Se 2.90-2.92
4 Ca 0.5000 0.5890 0.3152  6 Se 3.01-3.10
5 Ca 0.5000 0.0890 0.1848  6 Se 3.01-3.10
6 Se 0.5000 0.7439 0.5410  2 Th 2.92, 2 Ca 3.08-3.10
7 Ca 0.5000 0.9110 0.8152  6 Se 3.01-3.10
8 Se 0.0000 0.6333 0.7862  1 Th 2.90, 4 Ca 3.01
9 Th 0.0000 0.0000 0.5000  6 Se 2.90-2.92
10 Se 0.5000 0.7561 0.0410  2 Th 2.92, 2 Ca 3.08-3.10
11 Se 0.5000 0.2561 0.4590  2 Th 2.92, 2 Ca 3.08-3.10
12 Se 0.0000 0.3667 0.2138  1 Th 2.90, 4 Ca 3.01
13 Se 0.5000 0.2439 0.9590  2 Th 2.92, 2 Ca 3.08-3.10
14 Se 0.0000 0.8667 0.2862  1 Th 2.90, 4 Ca 3.01

---

4.
# AcThP2

An optimized crystal structure of AcThP2 (PBE, Alexandria via LeMat-Bulk).

Output
- polymorph energy (0 for the lowest one) (meV per atom) = 429
- density of states at the Fermi level (states/eV per cell) = 2.261
- space-group type = P4/mmm (123)
- energy of formation (eV per atom) = -1.08
- calculated volume (Å³/cell) = 97.1

Unit cell a=3.6308 b=5.1702 c=5.1702 alpha=90.00 beta=90.00 gamma=90.00
With the nearest neighbours (Å) after each atom.
Fractional coordinates of all 4 atoms:
1 Ac 0.5000 0.5000 0.5000  8 P 3.16
2 P 0.0000 0.5000 0.0000  4 Th 3.16, 4 Ac 3.16
3 P 0.0000 0.0000 0.5000  4 Ac 3.16, 4 Th 3.16
4 Th 0.5000 0.0000 0.0000  8 P 3.16

---

5.
# KLiLa3

An optimized crystal structure of KLiLa3 (PBE, Alexandria via LeMat-Bulk).

Output
- polymorph energy (0 for the lowest one) (meV per atom) = 0
- density of states at the Fermi level (states/eV per cell) = 9.257
- space-group type = Pm-3m (221)
- energy of formation (eV per atom) = 0.54
- calculated volume (Å³/cell) = 201.3

Unit cell a=5.8611 b=5.8611 c=5.8611 alpha=90.00 beta=90.00 gamma=90.00
With the nearest neighbours (Å) after each atom.
Fractional coordinates of all 5 atoms:
1 Li 0.0000 0.0000 0.0000  6 La 2.93
2 La 0.0000 0.5000 0.0000  2 Li 2.93
3 La 0.0000 0.0000 0.5000  2 Li 2.93
4 La 0.5000 0.0000 0.0000  2 Li 2.93
5 K 0.5000 0.5000 0.5000  12 La 4.14

---

6.
# CuNiRh2

An optimized crystal structure of CuNiRh2 (PBE, Alexandria via LeMat-Bulk).

Output
- density of states at the Fermi level (states/eV per cell) = 6.532
- space-group type = C2/m (12)
- energy of formation (eV per atom) = 0.07
- calculated volume (Å³/cell) = 52.3

Unit cell a=4.5081 b=4.5081 c=4.6222 alpha=79.99 beta=79.99 gamma=34.50
With the nearest neighbours (Å) after each atom.
Fractional coordinates of all 4 atoms:
1 Cu 0.7500 0.7500 0.7500  6 Rh 2.60-2.64, 4 Ni 2.67, 2 Cu 2.67
2 Ni 0.2500 0.2500 0.2500  6 Rh 2.59-2.64, 4 Cu 2.67, 2 Ni 2.67
3 Rh 0.9965 0.9965 0.0032  3 Ni 2.59-2.64, 3 Cu 2.60-2.64, 6 Rh 2.65-2.69
4 Rh 0.5035 0.5035 0.4968  3 Ni 2.59-2.64, 3 Cu 2.60-2.64, 6 Rh 2.65-2.69

---

7.
# Sr2Li13

An optimized crystal structure of Sr2Li13 (PBE, Alexandria via LeMat-Bulk).

Output
- density of states at the Fermi level (states/eV per cell) = 9.627
- space-group type = R-3m (166)
- energy of formation (eV per atom) = 0.10
- calculated volume (Å³/cell) = 387.4

Unit cell a=7.8656 b=7.8656 c=8.5386 alpha=62.57 beta=62.57 gamma=60.00
With the nearest neighbours (Å) after each atom.
Fractional coordinates of all 15 atoms:
1 Li 0.6739 0.6739 0.5908  6 Li 2.82-3.08
2 Li 0.1691 0.8150 0.2008  3 Li 2.79-2.82
3 Li 0.3261 0.9386 0.4092  6 Li 2.82-3.08
4 Li 0.8309 0.1850 0.7992  3 Li 2.79-2.82
5 Li 0.6739 0.0614 0.5908  6 Li 2.82-3.08
6 Li 0.8150 0.8150 0.2008  3 Li 2.79-2.82
7 Li 0.5000 0.5000 0.5000  6 Li 2.86
8 Li 0.0614 0.6739 0.5908  6 Li 2.82-3.08
9 Li 0.3261 0.3261 0.4092  6 Li 2.82-3.08
10 Li 0.9386 0.3261 0.4092  6 Li 2.82-3.08
11 Li 0.1850 0.8309 0.7992  3 Li 2.79-2.82
12 Sr 0.6666 0.6666 0.0002  7 Li 3.27-3.61
13 Li 0.8150 0.1691 0.2008  3 Li 2.79-2.82
14 Sr 0.3334 0.3334 0.9998  7 Li 3.27-3.61
15 Li 0.1850 0.1850 0.7992  3 Li 2.79-2.82

---

8.
# Ba3UAs4

An optimized crystal structure of Ba3UAs4 (PBE, Alexandria via LeMat-Bulk).

Output
- space-group type = P2/c (13)
- energy of formation (eV per atom) = -0.97
- calculated volume (Å³/cell) = 536.6

Unit cell a=7.7664 b=8.0164 c=9.1559 alpha=90.00 beta=90.00 gamma=109.72
With the nearest neighbours (Å) after each atom.
Fractional coordinates of all 16 atoms:
1 Ba 0.2500 0.5000 0.8826  4 As 3.24
2 As 0.9971 0.8070 0.9009  2 U 2.85-2.87
3 Ba 0.7500 0.5000 0.6220  2 As 3.19
4 Ba 0.7500 0.0000 0.3782  6 As 3.28-3.34
5 Ba 0.2500 0.5000 0.3780  2 As 3.19
6 As 0.4971 0.8070 0.0991  2 U 2.85-2.87
7 As 0.0397 0.7765 0.3333  1 U 2.77
8 As 0.5397 0.7765 0.6667  1 U 2.77
9 As 0.0029 0.1930 0.0991  2 U 2.85-2.87
10 As 0.9603 0.2235 0.6667  1 U 2.77
11 Ba 0.7500 0.5000 0.1174  4 As 3.24
12 U 0.7500 0.0000 0.8795  6 As 2.77-2.87
13 As 0.5029 0.1930 0.9009  2 U 2.85-2.87
14 U 0.2500 0.0000 0.1205  6 As 2.77-2.87
15 Ba 0.2500 0.0000 0.6218  6 As 3.28-3.34
16 As 0.4603 0.2235 0.3333  1 U 2.77

---

9.
# NdEr2OsN4

An optimized crystal structure of NdEr2OsN4 (PBE, Alexandria via LeMat-Bulk).

Output
- formation energy from raw total energies (eV per atom) = -0.98
- density of states at the Fermi level (states/eV per cell) = 5.476
- space-group type = Cmcm (63)
- calculated volume (Å³/cell) = 231.0

Unit cell a=3.4232 b=6.0734 c=11.5780 alpha=90.00 beta=90.00 gamma=106.37
With the nearest neighbours (Å) after each atom.
Fractional coordinates of all 16 atoms:
1 N 0.7345 0.4690 0.8741  1 Os 2.03
2 N 0.0000 0.0000 0.0000  4 Er 2.34
3 N 0.2655 0.5310 0.1259  1 Os 2.03
4 N 0.4428 0.8856 0.7500  2 Os 1.98
5 N 0.7345 0.4690 0.6259  1 Os 2.03
6 Os 0.8578 0.7155 0.7500  4 N 1.98-2.03
7 Os 0.1422 0.2845 0.2500  4 N 1.98-2.03
8 Nd 0.8804 0.7607 0.2500  6 N 2.60-2.68
9 Nd 0.1196 0.2393 0.7500  6 N 2.60-2.68
10 Er 0.3688 0.7375 0.9591  5 N 2.28-2.52
11 Er 0.3688 0.7375 0.5409  5 N 2.28-2.52
12 N 0.5572 0.1144 0.2500  2 Os 1.98
13 Er 0.6312 0.2625 0.0409  5 N 2.28-2.52
14 Er 0.6312 0.2625 0.4591  5 N 2.28-2.52
15 N 0.2655 0.5310 0.3741  1 Os 2.03
16 N 0.0000 0.0000 0.5000  4 Er 2.34

---

10.
# Y2RePt2

An optimized crystal structure of Y2RePt2 (PBE, Alexandria via LeMat-Bulk).

Output
- polymorph energy (0 for the lowest one) (meV per atom) = 69
- density of states at the Fermi level (states/eV per cell) = 14.444
- space-group type = P4/mbm (127)
- energy of formation (eV per atom) = -0.08
- calculated volume (Å³/cell) = 208.4

Unit cell a=8.0287 b=8.0287 c=3.2328 alpha=90.00 beta=90.00 gamma=90.00
With the nearest neighbours (Å) after each atom.
Fractional coordinates of all 10 atoms:
1 Pt 0.1327 0.6327 0.5000  6 Y 2.80-2.90, 1 Pt 3.01
2 Y 0.3343 0.8343 0.0000  6 Pt 2.80-2.90, 2 Re 3.00
3 Pt 0.6327 0.8673 0.5000  6 Y 2.80-2.90, 1 Pt 3.01
4 Y 0.1657 0.3343 0.0000  6 Pt 2.80-2.90, 2 Re 3.00
5 Y 0.6657 0.1657 0.0000  6 Pt 2.80-2.90, 2 Re 3.00
6 Pt 0.3673 0.1327 0.5000  6 Y 2.80-2.90, 1 Pt 3.01
7 Pt 0.8673 0.3673 0.5000  6 Y 2.80-2.90, 1 Pt 3.01
8 Re 0.5000 0.5000 0.0000  4 Y 3.00, 2 Re 3.23
9 Re 0.0000 0.0000 0.0000  4 Y 3.00, 2 Re 3.23
10 Y 0.8343 0.6657 0.0000  6 Pt 2.80-2.90, 2 Re 3.00

---

11.
# La4TlCl2

An optimized crystal structure of La4TlCl2 (PBE, Alexandria via LeMat-Bulk).

Output
- formation energy from raw total energies (eV per atom) = -1.03
- density of states at the Fermi level (states/eV per cell) = 11.216
- space-group type = Cmcm (63)
- calculated volume (Å³/cell) = 425.2

Unit cell a=4.4128 b=7.1312 c=14.2095 alpha=90.00 beta=90.00 gamma=108.02
With the nearest neighbours (Å) after each atom.
Fractional coordinates of all 14 atoms:
1 La 0.9422 0.8844 0.7500  2 Cl 2.85
2 Cl 0.1280 0.2560 0.4393  6 La 2.85-2.98
3 La 0.2360 0.4720 0.6147  3 Cl 2.89-2.98
4 La 0.7640 0.5280 0.3853  3 Cl 2.89-2.98
5 Cl 0.8720 0.7440 0.9393  6 La 2.85-2.98
6 Cl 0.8720 0.7440 0.5607  6 La 2.85-2.98
7 La 0.2360 0.4720 0.8853  3 Cl 2.89-2.98
8 La 0.7640 0.5280 0.1147  3 Cl 2.89-2.98
9 La 0.5000 0.0000 0.5000  4 Cl 2.94
10 Tl 0.6178 0.2355 0.7500  6 La 3.25-3.34
11 Tl 0.3822 0.7645 0.2500  6 La 3.25-3.34
12 La 0.0578 0.1156 0.2500  2 Cl 2.85
13 La 0.5000 0.0000 0.0000  4 Cl 2.94
14 Cl 0.1280 0.2560 0.0607  6 La 2.85-2.98

---

12.
# PAuIO2

An optimized crystal structure of PAuIO2 (PBE, Alexandria via LeMat-Bulk).

Output
- polymorph energy (0 for the lowest one) (meV per atom) = 721
- formation energy from raw total energies (eV per atom) = 0.62
- density of states at the Fermi level (states/eV per cell) = 5.594
- space-group type = P4/mmm (123)
- calculated volume (Å³/cell) = 87.3

Unit cell a=4.0724 b=4.0724 c=5.2650 alpha=90.00 beta=90.00 gamma=90.00
With the nearest neighbours (Å) after each atom.
Fractional coordinates of all 5 atoms:
1 Au 0.0000 0.0000 0.0000  4 O 2.04
2 O 0.0000 0.5000 0.0000  2 Au 2.04
3 P 0.0000 0.0000 0.5000  2 Au 2.63, 4 I 2.88
4 O 0.5000 0.0000 0.0000  2 Au 2.04
5 I 0.5000 0.5000 0.5000  4 P 2.88